Record 1
{
  "formula": "Tb3Sm4Tl4",
  "functional": "PBE",
  "state": "relaxed",
  "crystal_system": "orthorhombic",
  "dos_ef_per_ev_fu": 10.7,
  "lattice": [[3.688, 0.000, 0.000], [0.000, 9.480, 0.000], [-1.844, -4.740, 9.617]],
  "species": ["Tl", "Tl", "Tl", "Tl", "Sm", "Sm", "Sm", "Sm", "Tb", "Tb", "Tb"],
  "fractional_positions": [[0.500, 0.220, 0.000], [0.500, 0.780, 0.000], [0.273, 0.773, 0.546], [0.727, 0.227, 0.454], [0.338, 0.158, 0.676], [0.338, 0.518, 0.676], [0.662, 0.482, 0.324], [0.662, 0.842, 0.324], [0.000, 0.500, 0.000], [0.905, 0.905, 0.810], [0.095, 0.095, 0.190]]
}

Record 2
{
  "formula": "Tb4Sm5Tl",
  "functional": "PBE",
  "state": "relaxed",
  "crystal_system": "tetragonal",
  "dos_ef_per_ev_fu": 18.1,
  "lattice": [[-1.164, -3.142, 2.513], [4.023, -0.916, 0.718], [0.047, 11.385, 14.255]],
  "species": ["Tb", "Tb", "Tb", "Tb", "Sm", "Sm", "Sm", "Sm", "Sm", "Tl"],
  "fractional_positions": [[0.000, 0.000, 0.803], [0.000, 0.000, 0.197], [0.000, 0.000, 0.398], [0.000, 0.000, 0.602], [0.500, 0.500, 0.910], [0.500, 0.500, 0.090], [0.500, 0.500, 0.703], [0.500, 0.500, 0.500], [0.500, 0.500, 0.297], [0.000, 0.000, 0.000]]
}

Record 3
{
  "formula": "Tb4Sm9Tl11",
  "functional": "PBE",
  "state": "relaxed",
  "crystal_system": "orthorhombic",
  "dos_ef_per_ev_fu": 23.8,
  "lattice": [[3.598, 0.000, 0.000], [0.000, 13.383, -4.039], [0.000, 1.546, 13.893]],
  "species": ["Tl", "Tl", "Tl", "Tl", "Tl", "Tl", "Tl", "Tl", "Tl", "Tl", "Tl", "Sm", "Sm", "Sm", "Sm", "Sm", "Sm", "Sm", "Sm", "Sm", "Tb", "Tb", "Tb", "Tb"],
  "fractional_positions": [[0.000, 0.364, 0.636], [0.000, 0.068, 0.416], [0.000, 0.932, 0.584], [0.000, 0.172, 0.828], [0.000, 0.765, 0.765], [0.000, 0.636, 0.364], [0.000, 0.828, 0.172], [0.000, 0.416, 0.068], [0.000, 0.000, 0.000], [0.000, 0.584, 0.932], [0.000, 0.235, 0.235], [0.500, 0.857, 0.377], [0.500, 0.623, 0.143], [0.500, 0.377, 0.857], [0.500, 0.031, 0.207], [0.500, 0.793, 0.969], [0.500, 0.207, 0.031], [0.500, 0.500, 0.500], [0.500, 0.969, 0.793], [0.500, 0.143, 0.623], [0.500, 0.569, 0.736], [0.500, 0.736, 0.569], [0.500, 0.264, 0.431], [0.500, 0.431, 0.264]]
}

Record 4
{
  "formula": "Tb2Sm4Tl",
  "functional": "PBE",
  "state": "relaxed",
  "crystal_system": "monoclinic",
  "dos_ef_per_ev_fu": 10.0,
  "lattice": [[-2.780, 4.298, 2.641], [-5.206, -0.683, -4.368], [-3.456, -9.841, 5.658]],
  "species": ["Sm", "Sm", "Sm", "Sm", "Sm", "Sm", "Sm", "Sm", "Tb", "Tb", "Tb", "Tb", "Tl", "Tl"],
  "fractional_positions": [[0.826, 0.250, 0.581], [0.174, 0.750, 0.419], [0.375, 0.511, 0.710], [0.625, 0.011, 0.290], [0.972, 0.750, 0.863], [0.028, 0.250, 0.137], [0.625, 0.489, 0.290], [0.375, 0.989, 0.710], [0.756, 0.750, 0.565], [0.244, 0.250, 0.435], [0.437, 0.250, 0.978], [0.563, 0.750, 0.022], [0.878, 0.250, 0.854], [0.122, 0.750, 0.146]]
}

Record 5
{
  "formula": "Tb7Sm3Tl2",
  "functional": "PBE",
  "state": "relaxed",
  "crystal_system": "monoclinic",
  "dos_ef_per_ev_fu": 14.2,
  "lattice": [[-3.498, -0.115, -0.983], [1.519, -1.725, -5.203], [-2.211, -16.194, 9.752]],
  "species": ["Tl", "Tl", "Tb", "Tb", "Tb", "Tb", "Tb", "Tb", "Tb", "Sm", "Sm", "Sm"],
  "fractional_positions": [[0.500, 0.582, 0.292], [0.500, 0.418, 0.708], [0.500, 0.996, 0.169], [0.500, 0.282, 0.540], [0.000, 0.000, 0.000], [0.000, 0.522, 0.850], [0.000, 0.478, 0.150], [0.500, 0.718, 0.460], [0.500, 0.004, 0.831], [0.000, 0.139, 0.365], [0.000, 0.861, 0.635], [0.500, 0.500, 0.000]]
}

Record 6
{
  "formula": "Tb6SmTl4",
  "functional": "PBE",
  "state": "relaxed",
  "crystal_system": "tetragonal",
  "dos_ef_per_ev_fu": 13.8,
  "lattice": [[8.058, -0.307, -0.452], [-3.998, 7.003, 0.452], [-3.998, -2.155, 6.679]],
  "species": ["Tl", "Tl", "Tl", "Tl", "Tb", "Tb", "Tb", "Tb", "Tb", "Tb", "Sm"],
  "fractional_positions": [[0.000, 0.256, 0.602], [0.000, 0.602, 0.256], [0.347, 0.744, 0.744], [0.653, 0.398, 0.398], [0.629, 0.103, 0.103], [0.000, 0.527, 0.897], [0.000, 0.897, 0.527], [0.371, 0.473, 0.473], [0.500, 0.000, 0.500], [0.500, 0.500, 0.000], [0.000, 0.000, 0.000]]
}

Record 7
{
  "formula": "TbSm6Tl4",
  "functional": "PBE",
  "state": "relaxed",
  "crystal_system": "tetragonal",
  "dos_ef_per_ev_fu": 13.9,
  "lattice": [[-1.634, 2.481, 7.637], [-2.192, -7.393, -2.772], [7.570, -1.965, -2.448]],
  "species": ["Tl", "Tl", "Tl", "Tl", "Sm", "Sm", "Sm", "Sm", "Sm", "Sm", "Tb"],
  "fractional_positions": [[0.661, 0.401, 0.401], [0.000, 0.260, 0.599], [0.339, 0.740, 0.740], [0.000, 0.599, 0.260], [0.375, 0.473, 0.473], [0.500, 0.500, 0.000], [0.625, 0.099, 0.099], [0.500, 0.000, 0.500], [0.000, 0.527, 0.901], [0.000, 0.901, 0.527], [0.000, 0.000, 0.000]]
}

Record 8
{
  "formula": "Tb6SmTl6",
  "functional": "PBE",
  "state": "relaxed",
  "crystal_system": "hexagonal",
  "dos_ef_per_ev_fu": 13.7,
  "lattice": [[6.455, -0.001, 0.000], [-3.227, 5.590, 0.000], [0.000, 0.000, 10.610]],
  "species": ["Tl", "Tl", "Tl", "Tl", "Tl", "Tl", "Tb", "Tb", "Tb", "Tb", "Tb", "Tb", "Sm"],
  "fractional_positions": [[0.500, 0.000, 0.754], [0.500, 0.000, 0.246], [0.500, 0.500, 0.246], [0.500, 0.500, 0.754], [0.000, 0.500, 0.754], [0.000, 0.500, 0.246], [0.667, 0.333, 0.500], [0.667, 0.333, 0.000], [0.333, 0.667, 0.000], [0.000, 0.000, 0.665], [0.333, 0.667, 0.500], [0.000, 0.000, 0.335], [0.000, 0.000, 0.000]]
}

Record 9
{
  "formula": "Tb7Sm2Tl2",
  "functional": "PBE",
  "state": "relaxed",
  "crystal_system": "orthorhombic",
  "dos_ef_per_ev_fu": 15.0,
  "lattice": [[3.669, 0.000, 0.000], [1.834, 11.038, 0.922], [1.834, 6.045, 9.281]],
  "species": ["Tb", "Tb", "Tb", "Tb", "Tb", "Tb", "Tb", "Tl", "Tl", "Sm", "Sm"],
  "fractional_positions": [[0.134, 0.125, 0.606], [0.500, 0.054, 0.946], [0.866, 0.394, 0.875], [0.632, 0.450, 0.286], [0.161, 0.729, 0.948], [0.839, 0.052, 0.271], [0.368, 0.714, 0.550], [0.256, 0.345, 0.142], [0.744, 0.858, 0.655], [0.500, 0.397, 0.603], [0.000, 0.736, 0.264]]
}

Record 10
{
  "formula": "Tb5Sm4Tl4",
  "functional": "PBE",
  "state": "relaxed",
  "crystal_system": "tetragonal",
  "dos_ef_per_ev_fu": 14.5,
  "lattice": [[-1.988, 3.918, 2.757], [-8.436, 1.353, -3.124], [-4.073, -3.723, 7.232]],
  "species": ["Tl", "Tl", "Tl", "Tl", "Sm", "Sm", "Sm", "Sm", "Tb", "Tb", "Tb", "Tb", "Tb"],
  "fractional_positions": [[0.109, 0.122, 0.660], [0.231, 0.660, 0.878], [0.891, 0.878, 0.340], [0.769, 0.340, 0.122], [0.389, 0.708, 0.515], [0.097, 0.515, 0.292], [0.611, 0.292, 0.485], [0.903, 0.485, 0.708], [0.000, 0.000, 0.000], [0.686, 0.913, 0.716], [0.314, 0.087, 0.284], [0.599, 0.716, 0.087], [0.401, 0.284, 0.913]]
}

Record 11
{
  "formula": "Tb7SmTl2",
  "functional": "PBE",
  "state": "relaxed",
  "crystal_system": "orthorhombic",
  "dos_ef_per_ev_fu": 20.9,
  "lattice": [[5.407, 0.000, 0.000], [0.000, 9.029, -0.198], [0.000, -4.161, 8.016]],
  "species": ["Tl", "Tl", "Tb", "Tb", "Tb", "Tb", "Tb", "Tb", "Tb", "Sm"],
  "fractional_positions": [[0.500, 0.305, 0.695], [0.500, 0.695, 0.305], [0.000, 0.772, 0.228], [0.500, 0.500, 0.500], [0.500, 0.302, 0.061], [0.500, 0.698, 0.939], [0.000, 0.228, 0.772], [0.500, 0.061, 0.302], [0.500, 0.939, 0.698], [0.000, 0.000, 0.000]]
}

Record 12
{
  "formula": "Tb9SmTl2",
  "functional": "PBE",
  "state": "relaxed",
  "crystal_system": "tetragonal",
  "dos_ef_per_ev_fu": 15.4,
  "lattice": [[-4.029, 0.142, 2.765], [-0.841, -4.715, -0.982], [8.150, -3.970, 12.080]],
  "species": ["Tb", "Tb", "Tb", "Tb", "Tb", "Tb", "Tb", "Tb", "Tb", "Tl", "Tl", "Sm"],
  "fractional_positions": [[0.500, 0.500, 0.662], [0.000, 0.500, 0.173], [0.500, 0.000, 0.827], [0.500, 0.000, 0.500], [0.500, 0.500, 0.000], [0.000, 0.500, 0.500], [0.000, 0.500, 0.827], [0.500, 0.500, 0.338], [0.500, 0.000, 0.173], [0.000, 0.000, 0.340], [0.000, 0.000, 0.660], [0.000, 0.000, 0.000]]
}

Record 13
{
  "formula": "TbSm5Tl6",
  "functional": "PBE",
  "state": "relaxed",
  "crystal_system": "monoclinic",
  "dos_ef_per_ev_fu": 9.4,
  "lattice": [[-1.955, 1.262, 4.932], [-9.100, 1.310, 2.111], [-5.292, -7.315, 2.800]],
  "species": ["Sm", "Sm", "Sm", "Sm", "Sm", "Tl", "Tl", "Tl", "Tl", "Tl", "Tl", "Tb"],
  "fractional_positions": [[0.000, 0.334, 0.332], [0.500, 0.500, 0.000], [0.000, 0.666, 0.668], [0.500, 0.168, 0.663], [0.500, 0.832, 0.337], [0.248, 0.918, 0.670], [0.255, 0.245, 0.000], [0.752, 0.413, 0.670], [0.745, 0.755, 0.000], [0.248, 0.587, 0.330], [0.752, 0.082, 0.330], [0.000, 0.000, 0.000]]
}

Record 14
{
  "formula": "Tb7Sm12Tl",
  "functional": "PBE",
  "state": "relaxed",
  "crystal_system": "trigonal",
  "dos_ef_per_ev_fu": 32.7,
  "lattice": [[-6.277, -5.699, -2.070], [5.431, -6.739, 1.114], [-2.347, -0.807, 8.367]],
  "species": ["Tb", "Tb", "Tb", "Tb", "Tb", "Tb", "Tb", "Sm", "Sm", "Sm", "Sm", "Sm", "Sm", "Sm", "Sm", "Sm", "Sm", "Sm", "Sm", "Tl"],
  "fractional_positions": [[0.066, 0.146, 0.385], [0.854, 0.615, 0.934], [0.500, 0.500, 0.500], [0.934, 0.854, 0.615], [0.615, 0.934, 0.854], [0.146, 0.385, 0.066], [0.385, 0.066, 0.146], [0.867, 0.257, 0.740], [0.615, 0.141, 0.497], [0.257, 0.740, 0.867], [0.141, 0.497, 0.615], [0.133, 0.743, 0.260], [0.385, 0.859, 0.503], [0.740, 0.867, 0.257], [0.503, 0.385, 0.859], [0.743, 0.260, 0.133], [0.497, 0.615, 0.141], [0.859, 0.503, 0.385], [0.260, 0.133, 0.743], [0.000, 0.000, 0.000]]
}

Record 15
{
  "formula": "Tb4Sm4Tl",
  "functional": "PBE",
  "state": "relaxed",
  "crystal_system": "tetragonal",
  "dos_ef_per_ev_fu": 13.3,
  "lattice": [[4.939, 0.000, 0.000], [2.469, 7.601, 0.000], [2.469, 0.000, 7.601]],
  "species": ["Sm", "Sm", "Sm", "Sm", "Tb", "Tb", "Tb", "Tb", "Tl"],
  "fractional_positions": [[0.338, 0.324, 0.000], [0.662, 0.000, 0.676], [0.662, 0.676, 0.000], [0.338, 0.000, 0.324], [0.000, 0.664, 0.336], [0.000, 0.336, 0.664], [0.336, 0.664, 0.664], [0.664, 0.336, 0.336], [0.000, 0.000, 0.000]]
}

Record 16
{
  "formula": "Tb4Sm3Tl2",
  "functional": "PBE",
  "state": "relaxed",
  "crystal_system": "monoclinic",
  "dos_ef_per_ev_fu": 11.7,
  "lattice": [[-4.620, -0.260, 4.663], [-7.074, 0.183, -6.150], [0.085, -9.366, 0.411]],
  "species": ["Tb", "Tb", "Tb", "Tb", "Tb", "Tb", "Tb", "Tb", "Tl", "Tl", "Tl", "Tl", "Sm", "Sm", "Sm", "Sm", "Sm", "Sm"],
  "fractional_positions": [[0.588, 0.107, 0.684], [0.411, 0.474, 0.825], [0.912, 0.316, 0.893], [0.089, 0.175, 0.526], [0.911, 0.825, 0.474], [0.412, 0.893, 0.316], [0.088, 0.684, 0.107], [0.589, 0.526, 0.175], [0.962, 0.629, 0.779], [0.038, 0.371, 0.221], [0.538, 0.221, 0.371], [0.462, 0.779, 0.629], [0.600, 0.821, 0.951], [0.100, 0.951, 0.821], [0.250, 0.532, 0.468], [0.400, 0.179, 0.049], [0.750, 0.468, 0.532], [0.900, 0.049, 0.179]]
}

Record 17
{
  "formula": "Tb7SmTl5",
  "functional": "PBE",
  "state": "relaxed",
  "crystal_system": "orthorhombic",
  "dos_ef_per_ev_fu": 15.5,
  "lattice": [[6.561, 0.000, 0.000], [3.281, 7.692, 0.051], [3.281, 0.027, 7.692]],
  "species": ["Tl", "Tl", "Tl", "Tl", "Tl", "Tb", "Tb", "Tb", "Tb", "Tb", "Tb", "Tb", "Sm"],
  "fractional_positions": [[0.507, 0.483, 0.003], [0.507, 0.003, 0.483], [0.007, 0.003, 0.483], [0.007, 0.483, 0.003], [0.739, 0.761, 0.761], [0.638, 0.362, 0.362], [0.998, 0.662, 0.343], [0.514, 0.179, 0.794], [0.320, 0.680, 0.680], [0.998, 0.343, 0.662], [0.272, 0.228, 0.228], [0.514, 0.794, 0.179], [0.981, 0.019, 0.019]]
}

Record 18
{
  "formula": "Tb2Sm7Tl2",
  "functional": "PBE",
  "state": "relaxed",
  "crystal_system": "orthorhombic",
  "dos_ef_per_ev_fu": 15.8,
  "lattice": [[3.681, 0.000, 0.000], [1.840, 11.225, 0.977], [1.840, 6.183, 9.420]],
  "species": ["Sm", "Sm", "Sm", "Sm", "Sm", "Sm", "Sm", "Tl", "Tl", "Tb", "Tb"],
  "fractional_positions": [[0.161, 0.729, 0.949], [0.630, 0.456, 0.285], [0.370, 0.715, 0.544], [0.866, 0.395, 0.873], [0.134, 0.127, 0.605], [0.500, 0.050, 0.950], [0.839, 0.051, 0.271], [0.256, 0.347, 0.142], [0.744, 0.858, 0.653], [0.000, 0.729, 0.271], [0.500, 0.396, 0.604]]
}

Record 19
{
  "formula": "Tb12SmTl3",
  "functional": "PBE",
  "state": "relaxed",
  "crystal_system": "tetragonal",
  "dos_ef_per_ev_fu": 21.2,
  "lattice": [[4.881, 0.000, 0.000], [0.000, 4.881, 0.000], [0.000, 0.000, 19.999]],
  "species": ["Tb", "Tb", "Tb", "Tb", "Tb", "Tb", "Tb", "Tb", "Tb", "Tb", "Tb", "Tb", "Tl", "Tl", "Tl", "Sm"],
  "fractional_positions": [[0.000, 0.500, 0.869], [0.500, 0.000, 0.131], [0.500, 0.500, 0.000], [0.500, 0.000, 0.623], [0.500, 0.000, 0.869], [0.000, 0.500, 0.377], [0.000, 0.500, 0.623], [0.500, 0.500, 0.500], [0.500, 0.500, 0.745], [0.000, 0.500, 0.131], [0.500, 0.500, 0.255], [0.500, 0.000, 0.377], [0.000, 0.000, 0.257], [0.000, 0.000, 0.743], [0.000, 0.000, 0.500], [0.000, 0.000, 0.000]]
}

Record 20
{
  "formula": "Tb2SmTl",
  "functional": "PBE",
  "state": "relaxed",
  "crystal_system": "trigonal",
  "dos_ef_per_ev_fu": 5.6,
  "lattice": [[3.673, 0.000, 0.000], [1.836, 3.181, 0.000], [1.836, 1.060, 10.781]],
  "species": ["Sm", "Tl", "Tb", "Tb"],
  "fractional_positions": [[0.500, 0.500, 0.500], [0.667, 0.667, 0.000], [0.256, 0.256, 0.231], [0.077, 0.077, 0.768]]
}

Number 1: DFT formation energy -0.24 eV per atom, calculated volume 336.2 Å³/f.u., M_tot 0.0 μB per cell. Number 2: DFT formation energy 0.03 eV per atom, calculated volume 320.0 Å³/f.u., M_tot 0.0 μB per cell. Number 3: DFT formation energy -0.29 eV per atom, calculated volume 691.4 Å³/f.u., M_tot 0.0 μB per cell. Number 4: DFT formation energy -0.01 eV per atom, calculated volume 225.4 Å³/f.u., M_tot 0.0 μB per cell. Number 5: DFT formation energy -0.02 eV per atom, calculated volume 381.8 Å³/f.u., M_tot 0.0 μB per cell. Number 6: DFT formation energy -0.04 eV per atom, calculated volume 360.5 Å³/f.u., M_tot 0.0 μB per cell. Number 7: DFT formation energy -0.05 eV per atom, calculated volume 374.2 Å³/f.u., M_tot 0.0 μB per cell. Number 8: DFT formation energy -0.20 eV per atom, calculated volume 382.9 Å³/f.u., M_tot 1.2 μB per cell. Number 9: DFT formation energy -0.02 eV per atom, calculated volume 355.4 Å³/f.u., M_tot 0.0 μB per cell. Number 10: DFT formation energy -0.25 eV per atom, calculated volume 394.3 Å³/f.u., M_tot 0.0 μB per cell. Number 11: DFT formation energy 0.36 eV per atom, calculated volume 386.9 Å³/f.u., M_tot 1.2 μB per cell. Number 12: DFT formation energy -0.11 eV per atom, calculated volume 361.0 Å³/f.u., M_tot 0.0 μB per cell. Number 13: DFT formation energy -0.37 eV per atom, calculated volume 343.2 Å³/f.u., M_tot 0.0 μB per cell. Number 14: DFT formation energy 0.16 eV per atom, calculated volume 663.9 Å³/f.u., M_tot 0.0 μB per cell. Number 15: DFT formation energy -0.04 eV per atom, calculated volume 285.3 Å³/f.u., M_tot 0.0 μB per cell. Number 16: DFT formation energy -0.08 eV per atom, calculated volume 287.0 Å³/f.u., M_tot 0.0 μB per cell. Number 17: DFT formation energy -0.16 eV per atom, calculated volume 388.2 Å³/f.u., M_tot 0.0 μB per cell. Number 18: DFT formation energy -0.02 eV per atom, calculated volume 366.9 Å³/f.u., M_tot 0.0 μB per cell. Number 19: DFT formation energy -0.13 eV per atom, calculated volume 476.4 Å³/f.u., M_tot 0.0 μB per cell. Number 20: DFT formation energy -0.10 eV per atom, calculated volume 125.9 Å³/f.u., M_tot 0.0 μB per cell.